[1]
# LiHoMgS3, optimized geometry, DFT PBE
# Total energy, eV per cell: -60.292
# E above lowest polymorph, meV/atom: 0
# Crystal system: monoclinic
# Magnetic moment, μB/f.u.: 0.00
# Space group: No. 11
data_LiHoMgS3
_cell_length_a 7.362
_cell_length_b 3.911
_cell_length_c 10.472
_cell_angle_alpha 90.00
_cell_angle_beta 104.07
_cell_angle_gamma 90.00
_space_group_name_H-M_alt 'P 1'
_space_group_IT_number 1
_space_group_name_Hall 'P 1'
loop_
_atom_site_label
_atom_site_type_symbol
_atom_site_fract_x
_atom_site_fract_y
_atom_site_fract_z
Li1 Li 0.160 0.250 0.101
Li2 Li 0.840 0.750 0.899
Ho1 Ho 0.335 0.750 0.855
Ho2 Ho 0.665 0.250 0.145
Mg1 Mg 0.037 0.250 0.617
Mg2 Mg 0.963 0.750 0.383
S1 S 0.067 0.250 0.853
S2 S 0.220 0.750 0.583
S3 S 0.407 0.750 0.124
S4 S 0.593 0.250 0.876
S5 S 0.780 0.250 0.417
S6 S 0.933 0.750 0.147

[2]
# LiHoMgSe3, optimized geometry, DFT PBE
# Total energy, eV per cell: -54.709
# E above lowest polymorph, meV/atom: 0
# Crystal system: monoclinic
# Magnetic moment, μB/f.u.: 0.00
# Space group: No. 11
data_LiHoMgSe3
_cell_length_a 7.752
_cell_length_b 4.084
_cell_length_c 10.742
_cell_angle_alpha 90.00
_cell_angle_beta 104.55
_cell_angle_gamma 90.00
_space_group_name_H-M_alt 'P 1'
_space_group_IT_number 1
_space_group_name_Hall 'P 1'
loop_
_atom_site_label
_atom_site_type_symbol
_atom_site_fract_x
_atom_site_fract_y
_atom_site_fract_z
Li1 Li 0.166 0.250 0.108
Li2 Li 0.834 0.750 0.892
Ho1 Ho 0.332 0.750 0.856
Ho2 Ho 0.668 0.250 0.144
Mg1 Mg 0.052 0.250 0.613
Mg2 Mg 0.948 0.750 0.387
Se1 Se 0.065 0.250 0.854
Se2 Se 0.235 0.750 0.575
Se3 Se 0.411 0.750 0.131
Se4 Se 0.589 0.250 0.869
Se5 Se 0.765 0.250 0.425
Se6 Se 0.935 0.750 0.146

[3]
# LiHoMgSe3, optimized geometry, DFT PBE
# Total energy, eV per cell: -53.750
# E above lowest polymorph, meV/atom: 80
# Crystal system: orthorhombic
# Magnetic moment, μB/f.u.: 0.01
# Space group: No. 63
data_LiHoMgSe3
_cell_length_a 6.868
_cell_length_b 6.868
_cell_length_c 11.233
_cell_angle_alpha 90.00
_cell_angle_beta 90.00
_cell_angle_gamma 145.65
_space_group_name_H-M_alt 'P 1'
_space_group_IT_number 1
_space_group_name_Hall 'P 1'
loop_
_atom_site_label
_atom_site_type_symbol
_atom_site_fract_x
_atom_site_fract_y
_atom_site_fract_z
Li1 Li 0.249 0.751 0.750
Li2 Li 0.751 0.249 0.250
Ho1 Ho 0.500 0.500 0.000
Ho2 Ho 0.500 0.500 0.500
Mg1 Mg 0.025 0.975 0.250
Mg2 Mg 0.975 0.025 0.750
Se1 Se 0.139 0.861 0.071
Se2 Se 0.139 0.861 0.429
Se3 Se 0.405 0.595 0.250
Se4 Se 0.595 0.405 0.750
Se5 Se 0.861 0.139 0.571
Se6 Se 0.861 0.139 0.929

[4]
# Li5Ho3N3, optimized geometry, DFT PBE
# Total energy, eV per cell: -54.644
# Crystal system: hexagonal
# Magnetic moment, μB/f.u.: 0.01
# Space group: No. 189
data_Li5Ho3N3
_cell_length_a 6.511
_cell_length_b 6.511
_cell_length_c 4.523
_cell_angle_alpha 90.00
_cell_angle_beta 90.00
_cell_angle_gamma 120.00
_space_group_name_H-M_alt 'P 1'
_space_group_IT_number 1
_space_group_name_Hall 'P 1'
loop_
_atom_site_label
_atom_site_type_symbol
_atom_site_fract_x
_atom_site_fract_y
_atom_site_fract_z
Li1 Li 0.000 0.286 0.000
Li2 Li 0.286 0.000 0.000
Li3 Li 0.333 0.667 0.000
Li4 Li 0.667 0.333 0.000
Li5 Li 0.714 0.714 0.000
Ho1 Ho 0.000 0.661 0.500
Ho2 Ho 0.339 0.339 0.500
Ho3 Ho 0.661 0.000 0.500
N1 N 0.000 0.623 0.000
N2 N 0.377 0.377 0.000
N3 N 0.623 0.000 0.000

[5]
# LiHoNO, optimized geometry, DFT PBE
# Total energy, eV per cell: -101.736
# E above lowest polymorph, meV/atom: 145
# Crystal system: orthorhombic
# Magnetic moment, μB/f.u.: 0.92
# Space group: No. 29
data_LiHoNO
_cell_length_a 5.932
_cell_length_b 7.342
_cell_length_c 4.767
_cell_angle_alpha 90.00
_cell_angle_beta 90.00
_cell_angle_gamma 90.00
_space_group_name_H-M_alt 'P 1'
_space_group_IT_number 1
_space_group_name_Hall 'P 1'
loop_
_atom_site_label
_atom_site_type_symbol
_atom_site_fract_x
_atom_site_fract_y
_atom_site_fract_z
Li1 Li 0.077 0.093 0.000
Li2 Li 0.423 0.093 0.500
Li3 Li 0.577 0.907 0.000
Li4 Li 0.923 0.907 0.500
Ho1 Ho 0.041 0.665 0.009
Ho2 Ho 0.459 0.665 0.509
Ho3 Ho 0.541 0.335 0.009
Ho4 Ho 0.959 0.335 0.509
N1 N 0.079 0.631 0.512
N2 N 0.421 0.631 0.012
N3 N 0.579 0.369 0.512
N4 N 0.921 0.369 0.012
O1 O 0.121 0.091 0.606
O2 O 0.379 0.091 0.106
O3 O 0.621 0.909 0.606
O4 O 0.879 0.909 0.106

[6]
# LiHoNO, optimized geometry, DFT PBE
# Total energy, eV per cell: -51.961
# E above lowest polymorph, meV/atom: 8
# Crystal system: orthorhombic
# Magnetic moment, μB/f.u.: 0.75
# Space group: No. 26
data_LiHoNO
_cell_length_a 3.783
_cell_length_b 6.483
_cell_length_c 4.521
_cell_angle_alpha 90.00
_cell_angle_beta 90.00
_cell_angle_gamma 90.00
_space_group_name_H-M_alt 'P 1'
_space_group_IT_number 1
_space_group_name_Hall 'P 1'
loop_
_atom_site_label
_atom_site_type_symbol
_atom_site_fract_x
_atom_site_fract_y
_atom_site_fract_z
Li1 Li 0.000 0.151 0.000
Li2 Li 0.000 0.849 0.500
Ho1 Ho 0.500 0.298 0.482
Ho2 Ho 0.500 0.702 0.982
N1 N 0.500 0.348 0.981
N2 N 0.500 0.652 0.481
O1 O 0.000 0.145 0.458
O2 O 0.000 0.855 0.958

> Which value of magnetic moment does entry 4 give?

0.01 μB/f.u.

> Which of these has the highest total energy?

number 6

> Look up the total energy of the third one.

-53.750 eV per cell

Please write out number 5 again, unchanged.
# LiHoNO, optimized geometry, DFT PBE
# Total energy, eV per cell: -101.736
# E above lowest polymorph, meV/atom: 145
# Crystal system: orthorhombic
# Magnetic moment, μB/f.u.: 0.92
# Space group: No. 29
data_LiHoNO
_cell_length_a 5.932
_cell_length_b 7.342
_cell_length_c 4.767
_cell_angle_alpha 90.00
_cell_angle_beta 90.00
_cell_angle_gamma 90.00
_space_group_name_H-M_alt 'P 1'
_space_group_IT_number 1
_space_group_name_Hall 'P 1'
loop_
_atom_site_label
_atom_site_type_symbol
_atom_site_fract_x
_atom_site_fract_y
_atom_site_fract_z
Li1 Li 0.077 0.093 0.000
Li2 Li 0.423 0.093 0.500
Li3 Li 0.577 0.907 0.000
Li4 Li 0.923 0.907 0.500
Ho1 Ho 0.041 0.665 0.009
Ho2 Ho 0.459 0.665 0.509
Ho3 Ho 0.541 0.335 0.009
Ho4 Ho 0.959 0.335 0.509
N1 N 0.079 0.631 0.512
N2 N 0.421 0.631 0.012
N3 N 0.579 0.369 0.512
N4 N 0.921 0.369 0.012
O1 O 0.121 0.091 0.606
O2 O 0.379 0.091 0.106
O3 O 0.621 0.909 0.606
O4 O 0.879 0.909 0.106